Computed, not measured: TbTlVO4 after structural relaxation at the PBE+U level of DFT.

Cell lengths 6.0866, 5.9287, 7.5943 Å; angles 90.00, 104.10, 90.00 degrees
Last column: nearest neighbours and their distance in Å.
Fractional positions:
Tb 0.1774 0.2500 0.0569  6 O 2.26-2.50
Tb 0.8226 0.7500 0.9431  6 O 2.26-2.50
Tl 0.2807 0.2500 0.5938  1 O 2.56
Tl 0.7193 0.7500 0.4062  1 O 2.56
V 0.3041 0.7500 0.8586  4 O 1.75-1.90
V 0.6959 0.2500 0.1414  4 O 1.75-1.90
O 0.0797 0.5242 0.8452  1 V 1.90
O 0.0797 0.9758 0.8452  1 V 1.90
O 0.4852 0.7500 0.0763  1 V 1.75
O 0.4877 0.7500 0.7082  1 V 1.78
O 0.5123 0.2500 0.2918  1 V 1.78
O 0.5148 0.2500 0.9237  1 V 1.75
O 0.9203 0.0242 0.1548  1 V 1.90
O 0.9203 0.4758 0.1548  1 V 1.90

Properties
Crystal system = monoclinic
Calculated density = 6.0 Mg/m³
Calculated total energy = -99.15 eV per cell
Space-group type = P2_1/m (11)
Total magnetization = 0.143 μB/atom



Computed, not measured: TbTlV2O8 after structural relaxation at the PBE+U level of DFT.

Cell lengths 6.0177, 6.0177, 6.0177 Å; angles 106.63, 106.63, 115.31 degrees
Last column: nearest neighbours and their distance in Å.
Fractional positions:
Tb 0.0000 0.0000 0.0000  8 O 2.29-2.48
Tl 0.7500 0.2500 0.5000  8 O 2.32-2.53
V 0.2500 0.7500 0.5000  4 O 1.74
V 0.5000 0.5000 0.0000  4 O 1.75
O 0.0817 0.3922 0.3105  1 V 1.74
O 0.0817 0.7712 0.6895  1 V 1.74
O 0.1394 0.3243 0.8151  1 V 1.75
O 0.2288 0.9183 0.3105  1 V 1.74
O 0.5092 0.3243 0.1849  1 V 1.75
O 0.6078 0.9183 0.6895  1 V 1.74
O 0.6757 0.4908 0.8151  1 V 1.75
O 0.6757 0.8606 0.1849  1 V 1.75

Properties
Crystal system = tetragonal
Calculated density = 5.9 Mg/m³
Calculated total energy = -85.61 eV per cell
Space-group type = I-4m2 (119)
Total magnetization = 0.000 μB/atom